8
Lattice="-3.475 3.475 4.541 3.475 -3.475 4.541 3.475 3.475 -4.541" Properties=species:S:1:pos:R:3 comment="NiBiBr2 PBE-GGA relaxed" total_energy_ev_per_atom=-3.06 space_group="I-42d (122)" formation_energy_uncorrected_mev_per_atom=191 polymorph_energy_ev_per_atom=0.294 pbc="T T T"
Ni 0.000 0.000 0.000
Ni 0.000 3.475 2.270
Bi 3.475 0.000 2.270
Bi 0.000 0.000 4.541
Br 5.212 1.158 -1.135
Br 1.158 1.737 1.135
Br -1.737 2.316 3.405
Br 2.316 1.737 5.676